The following is a DFT calculation (PBE-GGA) of a geometry-optimized Ag3Ir structure.

It has space group P4/mmm (No. 123), with a = 2.789 Å, b = 2.789 Å, c = 8.662 Å, α = 90.00°, β = 90.00° and γ = 90.00°. The asymmetric unit holds Ag at (0.000, 0.000, 0.000), Ag at (0.500, 0.500, 0.257) and Ir at (0.000, 0.000, 0.500).

Its energy relative to the elements is 309.8 meV/atom. The total magnetization is 0.6 μB/cell.

---

The following is a DFT calculation (PBE-GGA) of a geometry-optimized Ti3VNi structure.

It has space group I-4m2 (No. 119), with a = 4.861 Å, b = 4.861 Å, c = 16.331 Å, α = 90.00°, β = 90.00° and γ = 90.00°. The asymmetric unit holds Ti at (0.000, 0.000, 0.207), Ti at (0.000, 0.254, 0.379), V at (0.000, 0.500, 0.575), Ni at (0.000, 0.000, 0.500) and Ni at (0.000, 0.500, 0.250).

Its energy relative to the elements is 705.0 meV/atom. The total magnetization is 9.2 μB/cell. The energy above the most stable polymorph in this dataset is 146 meV per atom.

---

The following is a DFT calculation (PBE-GGA) of a geometry-optimized FeHg3Cl structure.

It has space group Pm-3m (No. 221), with a = 5.770 Å, b = 5.770 Å, c = 5.770 Å, α = 90.00°, β = 90.00° and γ = 90.00°. The asymmetric unit holds Fe at (0.000, 0.000, 0.000), Hg at (0.000, 0.500, 0.500) and Cl at (0.500, 0.500, 0.500).

The uncorrected formation energy is 0.970 eV per atom. The total magnetization is 4.0 μB/cell. The energy above the most stable polymorph in this dataset is 748 meV per atom.

---

The following is a DFT calculation (PBE-GGA) of a geometry-optimized Pr3Sm5Y3 structure.

It has space group P-62m (No. 189), with a = 9.6920 Å, b = 9.6920 Å, c = 5.6401 Å, α = 90.00°, β = 90.00° and γ = 120.00°. The asymmetric unit holds Pr at (0.0000, 0.5880, 0.0000), Sm at (0.0000, 0.3816, 0.5000), Sm at (0.3333, 0.6667, 0.5000) and Y at (0.0000, 0.7502, 0.5000).

Its energy relative to the elements is 748.1 meV/atom. The total magnetization is 0.0 μB/cell. The energy above the most stable polymorph in this dataset is 0 meV per atom.

---

The following is a DFT calculation (PBE-GGA) of a geometry-optimized BaZr4Tl structure.

It has space group F-43m (No. 216), with a = 8.646 Å, b = 8.646 Å, c = 8.646 Å, α = 90.00°, β = 90.00° and γ = 90.00°. The asymmetric unit holds Ba at (0.000, 0.000, 0.000), Zr at (0.126, 0.126, 0.626) and Tl at (0.250, 0.250, 0.250).

Its energy relative to the elements is 445.8 meV/atom. The total magnetization is 0.0 μB/cell.

---

The following is a DFT calculation (PBE-GGA) of a geometry-optimized PrBe2Ru2C structure.

It has space group P4/mmm (No. 123), with a = 4.034 Å, b = 4.034 Å, c = 5.301 Å, α = 90.00°, β = 90.00° and γ = 90.00°. The asymmetric unit holds Pr at (0.000, 0.000, 0.000), Be at (0.500, 0.500, 0.251), Ru at (0.000, 0.500, 0.500) and C at (0.000, 0.000, 0.500).

Its energy relative to the elements is -255.0 meV/atom. The total magnetization is 0.0 μB/cell.